Record 1
Pr3Pd2Pt7: relaxed, GGA-PBE.

Cell and atoms, written as POSCAR:
```
Pr3Pd2Pt7
1.0
5.477 0.000 0.000
2.738 4.743 0.000
2.738 1.581 8.981
Pt Pr Pd
7 3 2
Direct
0.500 0.500 0.500 Pt
0.586 0.586 0.746 Pt
0.081 0.586 0.746 Pt
0.414 0.414 0.254 Pt
0.919 0.414 0.254 Pt
0.586 0.081 0.746 Pt
0.414 0.919 0.254 Pt
0.861 0.861 0.417 Pr
0.139 0.139 0.583 Pr
0.000 0.000 0.000 Pr
0.333 0.333 0.002 Pd
0.667 0.667 0.998 Pd
```

The value obtained for the formation energy is -890 meV per atom. The final energy comes out at -6.474 eV/atom.

***

Record 2
PrNd3Te4: relaxed, GGA-PBE.

Cell and atoms, written as POSCAR:
```
PrNd3Te4
1.0
-1.625 1.419 -3.905
0.989 -7.163 -3.013
-7.157 0.468 3.149
Te Nd Pr
4 3 1
Direct
0.500 0.251 0.749 Te
0.000 0.748 0.748 Te
0.000 0.252 0.252 Te
0.500 0.749 0.251 Te
0.500 0.500 0.500 Nd
0.000 0.500 0.000 Nd
0.000 0.000 0.500 Nd
0.500 0.000 0.000 Pr
```

The final energy comes out at -5.383 eV/atom. The calculation puts the energy above the most stable polymorph in this dataset at 0.00 eV/f.u.

***

Record 3
TiBeInP2: relaxed, GGA-PBE.

Cell and atoms, written as POSCAR:
```
TiBeInP2
1.0
4.709 0.000 0.000
0.000 4.731 0.000
0.000 0.000 4.709
Be P In Ti
1 2 1 1
Direct
0.000 0.500 0.000 Be
0.000 0.000 0.500 P
0.500 0.000 0.000 P
0.500 0.500 0.500 In
0.000 0.000 0.000 Ti
```

The value obtained for the formation energy is 405 meV per atom. The final energy comes out at -4.630 eV/atom.

***

Record 4
Cd2CuTe: relaxed, GGA-PBE.

Cell and atoms, written as POSCAR:
```
Cd2CuTe
1.0
5.057 0.000 0.000
2.528 4.379 0.000
2.528 1.460 4.129
Te Cd Cu
1 2 1
Direct
0.750 0.750 0.750 Te
0.000 0.000 0.000 Cd
0.250 0.250 0.250 Cd
0.500 0.500 0.500 Cu
```

The final energy comes out at -1.986 eV/atom.

***

Record 5
Pm2SnPt3: relaxed, GGA-PBE.

Cell and atoms, written as POSCAR:
```
Pm2SnPt3
1.0
5.942 -0.475 0.000
-0.706 5.919 0.000
-2.618 -2.722 7.875
Sn Pm Pt
2 4 6
Direct
0.666 0.666 0.332 Sn
0.334 0.334 0.668 Sn
0.750 0.250 0.500 Pm
0.238 0.238 0.000 Pm
0.250 0.750 0.500 Pm
0.762 0.762 0.000 Pm
0.168 0.664 0.832 Pt
0.834 0.834 0.669 Pt
0.336 0.832 0.168 Pt
0.166 0.166 0.331 Pt
0.832 0.336 0.168 Pt
0.664 0.168 0.832 Pt
```

The value obtained for the formation energy is -939 meV per atom. The final energy comes out at -6.210 eV/atom. The calculation puts the energy above the most stable polymorph in this dataset at 0.04 eV/f.u.

***

Record 6
Y2ScHPd: relaxed, GGA-PBE.

Cell and atoms, written as POSCAR:
```
Y2ScHPd
1.0
4.955 0.000 0.000
0.000 4.955 0.000
0.000 0.000 4.026
Pd Y H Sc
1 2 1 1
Direct
0.500 0.500 0.500 Pd
0.000 0.500 0.000 Y
0.500 0.000 0.000 Y
0.000 0.000 0.000 H
0.000 0.000 0.500 Sc
```

The final energy comes out at -5.920 eV/atom.